A plane-wave DFT calculation with PBE was carried out for GaMoIr2Au after structural relaxation.

The structure in CIF format:
```
data_GaMoIr2Au
_space_group_name_H-M_alt 'P 4/m m m'
_space_group_IT_number 123
_space_group_name_Hall '-P 4 2'
_cell_length_a 4.938
_cell_length_b 4.938
_cell_length_c 4.858
_cell_angle_alpha 90.00
_cell_angle_beta 90.00
_cell_angle_gamma 90.00
loop_
_atom_site_label
_atom_site_fract_x
_atom_site_fract_y
_atom_site_fract_z
_atom_site_occupancy
Ga1 0.000 0.000 0.000 1
Mo1 0.500 0.500 0.000 1
Ir1 0.000 0.500 0.500 1
Au1 0.500 0.500 0.500 1
```

## Properties
crystal system = tetragonal
formation energy from the elements = 2.08 eV per atom
density = 10.5 g/cm³
total magnetic moment = 3.67 μB/f.u.



A plane-wave DFT calculation with PBE was carried out for CuPtBr2 after structural relaxation.

The structure in CIF format:
```
data_CuPtBr2
_space_group_name_H-M_alt 'I -4 2 d'
_space_group_IT_number 122
_space_group_name_Hall 'I -4 2bw'
_cell_length_a 5.876
_cell_length_b 5.876
_cell_length_c 11.380
_cell_angle_alpha 90.00
_cell_angle_beta 90.00
_cell_angle_gamma 90.00
loop_
_atom_site_label
_atom_site_fract_x
_atom_site_fract_y
_atom_site_fract_z
_atom_site_occupancy
Cu1 0.000 0.000 0.000 1
Pt1 0.000 0.000 0.500 1
Br1 0.234 0.250 0.125 1
```

## Properties
energy relative to the elements, uncorrected = 1.053 eV per formula unit
crystal system = tetragonal
polymorph energy (0 for the lowest one) = 220 meV per atom
density = 7.1 g/cm³
total magnetic moment = 0.00 μB/f.u.



A plane-wave DFT calculation with PBE was carried out for Co4S after structural relaxation.

The structure in CIF format:
```
data_Co4S
_space_group_name_H-M_alt 'P m -3 m'
_space_group_IT_number 221
_space_group_name_Hall '-P 4 2 3'
_cell_length_a 4.065
_cell_length_b 4.065
_cell_length_c 4.065
_cell_angle_alpha 90.00
_cell_angle_beta 90.00
_cell_angle_gamma 90.00
loop_
_atom_site_label
_atom_site_fract_x
_atom_site_fract_y
_atom_site_fract_z
_atom_site_occupancy
Co1 0.000 0.000 0.000 1
Co2 0.000 0.500 0.500 1
S1 0.500 0.500 0.500 1
```

## Properties
energy relative to the elements, uncorrected = 2.261 eV per formula unit
crystal system = cubic
density = 6.6 g/cm³
total magnetic moment = 5.70 μB/f.u.



A plane-wave DFT calculation with PBE was carried out for CoOsSe6 after structural relaxation.

The structure in CIF format:
```
data_CoOsSe6
_space_group_name_H-M_alt 'C 1 2/m 1'
_space_group_IT_number 12
_cell_length_a 5.903
_cell_length_b 8.754
_cell_length_c 6.462
_cell_angle_alpha 90.00
_cell_angle_beta 90.89
_cell_angle_gamma 90.00
loop_
_space_group_symop_operation_xyz
'x,y,z'
'-x,-y,-z'
'-x,y,-z'
'x,-y,z'
'x+1/2,y+1/2,z'
'-x+1/2,-y+1/2,-z'
'-x+1/2,y+1/2,-z'
'x+1/2,-y+1/2,z'
loop_
_atom_site_label
_atom_site_fract_x
_atom_site_fract_y
_atom_site_fract_z
_atom_site_occupancy
Co1 0.000 0.000 0.000 1
Os1 0.000 0.000 0.500 1
Se1 0.157 0.179 0.761 1
Se2 0.184 0.500 0.757 1
```

## Properties
energy relative to the elements, uncorrected = 0.449 eV per formula unit
crystal system = monoclinic
polymorph energy (0 for the lowest one) = 157 meV per atom
density = 7.2 g/cm³
total magnetic moment = 0.00 μB/f.u.



A plane-wave DFT calculation with PBE was carried out for UTi2Pb after structural relaxation.

The structure in CIF format:
```
data_UTi2Pb
_space_group_name_H-M_alt 'F m -3 m'
_space_group_IT_number 225
_space_group_name_Hall '-F 4 2 3'
_cell_length_a 6.869
_cell_length_b 6.869
_cell_length_c 6.869
_cell_angle_alpha 90.00
_cell_angle_beta 90.00
_cell_angle_gamma 90.00
loop_
_atom_site_label
_atom_site_fract_x
_atom_site_fract_y
_atom_site_fract_z
_atom_site_occupancy
U1 0.000 0.000 0.000 1
Ti1 0.250 0.250 0.250 1
Pb1 0.000 0.000 0.500 1
```

## Properties
crystal system = cubic
formation energy from the elements = 0.24 eV per atom
polymorph energy (0 for the lowest one) = 115 meV per atom
density = 11.1 g/cm³
total magnetic moment = 3.16 μB/f.u.



A plane-wave DFT calculation with PBE was carried out for InGaSn3 after structural relaxation.

The structure in CIF format:
```
data_InGaSn3
_space_group_name_H-M_alt 'P 1 21/m 1'
_space_group_IT_number 11
_cell_length_a 6.677
_cell_length_b 4.952
_cell_length_c 7.866
_cell_angle_alpha 90.00
_cell_angle_beta 96.30
_cell_angle_gamma 90.00
loop_
_space_group_symop_operation_xyz
'x,y,z'
'-x,-y,-z'
'-x,y+1/2,-z'
'x,-y+1/2,z'
loop_
_atom_site_label
_atom_site_fract_x
_atom_site_fract_y
_atom_site_fract_z
_atom_site_occupancy
In1 0.057 0.250 0.346 1
Ga1 0.453 0.250 0.150 1
Sn1 0.169 0.750 0.066 1
Sn2 0.267 0.250 0.778 1
Sn3 0.349 0.750 0.474 1
```

## Properties
crystal system = monoclinic
formation energy from the elements = 0.04 eV per atom
polymorph energy (0 for the lowest one) = 0 meV per atom
density = 6.9 g/cm³
total magnetic moment = 0.00 μB/f.u.



A plane-wave DFT calculation with PBE was carried out for Sr2LaMgN after structural relaxation.

The structure in CIF format:
```
data_Sr2LaMgN
_space_group_name_H-M_alt 'P 4/m m m'
_space_group_IT_number 123
_space_group_name_Hall '-P 4 2'
_cell_length_a 5.545
_cell_length_b 5.545
_cell_length_c 4.921
_cell_angle_alpha 90.00
_cell_angle_beta 90.00
_cell_angle_gamma 90.00
loop_
_atom_site_label
_atom_site_fract_x
_atom_site_fract_y
_atom_site_fract_z
_atom_site_occupancy
Sr1 0.000 0.500 0.000 1
La1 0.000 0.000 0.500 1
Mg1 0.500 0.500 0.500 1
N1 0.000 0.000 0.000 1
```

## Properties
energy relative to the elements, uncorrected = -2.148 eV per formula unit
crystal system = tetragonal
density = 3.9 g/cm³
total magnetic moment = 0.00 μB/f.u.



A plane-wave DFT calculation with PBE was carried out for MgScOs2Pt after structural relaxation.

The structure in CIF format:
```
data_MgScOs2Pt
_space_group_name_H-M_alt 'P 4/m m m'
_space_group_IT_number 123
_space_group_name_Hall '-P 4 2'
_cell_length_a 4.840
_cell_length_b 4.840
_cell_length_c 4.795
_cell_angle_alpha 90.00
_cell_angle_beta 90.00
_cell_angle_gamma 90.00
loop_
_atom_site_label
_atom_site_fract_x
_atom_site_fract_y
_atom_site_fract_z
_atom_site_occupancy
Mg1 0.000 0.000 0.000 1
Sc1 0.500 0.500 0.000 1
Os1 0.000 0.500 0.500 1
Pt1 0.500 0.500 0.500 1
```

## Properties
crystal system = tetragonal
formation energy from the elements = 1.15 eV per atom
density = 9.5 g/cm³
total magnetic moment = 0.00 μB/f.u.



A plane-wave DFT calculation with PBE was carried out for NdZrS2 after structural relaxation.

The structure in CIF format:
```
data_NdZrS2
_space_group_name_H-M_alt 'R 3 m'
_space_group_IT_number 160
_space_group_name_Hall 'R 3 -2"'
_cell_length_a 3.7983
_cell_length_b 3.7983
_cell_length_c 20.1349
_cell_angle_alpha 90.00
_cell_angle_beta 90.00
_cell_angle_gamma 120.00
loop_
_atom_site_label
_atom_site_fract_x
_atom_site_fract_y
_atom_site_fract_z
_atom_site_occupancy
Nd1 0.0000 0.0000 0.0000 1
Zr1 0.0000 0.0000 0.1769 1
S1 0.0000 0.0000 0.5803 1
S2 0.0000 0.0000 0.7644 1
```

## Properties
energy relative to the elements, uncorrected = -6.574 eV per formula unit
crystal system = trigonal
polymorph energy (0 for the lowest one) = 0 meV per atom
density = 5.9 g/cm³
total magnetic moment = 0.00 μB/f.u.



A plane-wave DFT calculation with PBE was carried out for SiIr2Br after structural relaxation.

The structure in CIF format:
```
data_SiIr2Br
_space_group_name_H-M_alt 'P m m m'
_space_group_IT_number 47
_cell_length_a 2.847
_cell_length_b 4.292
_cell_length_c 5.283
_cell_angle_alpha 90.00
_cell_angle_beta 90.00
_cell_angle_gamma 90.00
loop_
_space_group_symop_operation_xyz
'x,y,z'
'-x,-y,-z'
'-x,-y,z'
'x,y,-z'
'x,-y,-z'
'-x,y,z'
'-x,y,-z'
'x,-y,z'
loop_
_atom_site_label
_atom_site_fract_x
_atom_site_fract_y
_atom_site_fract_z
_atom_site_occupancy
Si1 0.000 0.000 0.000 1
Ir1 0.000 0.500 0.500 1
Ir2 0.500 0.500 0.000 1
Br1 0.500 0.000 0.500 1
```

## Properties
energy relative to the elements, uncorrected = 2.549 eV per formula unit
crystal system = orthorhombic
polymorph energy (0 for the lowest one) = 687 meV per atom
density = 12.7 g/cm³
total magnetic moment = 0.00 μB/f.u.



A plane-wave DFT calculation with PBE was carried out for GaPOsO2 after structural relaxation.

The structure in CIF format:
```
data_GaPOsO2
_space_group_name_H-M_alt 'P 4/m m m'
_space_group_IT_number 123
_space_group_name_Hall '-P 4 2'
_cell_length_a 3.546
_cell_length_b 3.546
_cell_length_c 6.681
_cell_angle_alpha 90.00
_cell_angle_beta 90.00
_cell_angle_gamma 90.00
loop_
_atom_site_label
_atom_site_fract_x
_atom_site_fract_y
_atom_site_fract_z
_atom_site_occupancy
Ga1 0.000 0.000 0.000 1
P1 0.000 0.000 0.500 1
Os1 0.500 0.500 0.500 1
O1 0.000 0.500 0.000 1
```

## Properties
energy relative to the elements, uncorrected = 1.318 eV per formula unit
crystal system = tetragonal
polymorph energy (0 for the lowest one) = 695 meV per atom
density = 6.4 g/cm³
total magnetic moment = 2.49 μB/f.u.



A plane-wave DFT calculation with PBE was carried out for Pr2Y9Th after structural relaxation.

The structure in CIF format:
```
data_Pr2Y9Th
_space_group_name_H-M_alt 'P 4/m m m'
_space_group_IT_number 123
_space_group_name_Hall '-P 4 2'
_cell_length_a 5.083
_cell_length_b 5.083
_cell_length_c 15.293
_cell_angle_alpha 90.00
_cell_angle_beta 90.00
_cell_angle_gamma 90.00
loop_
_atom_site_label
_atom_site_fract_x
_atom_site_fract_y
_atom_site_fract_z
_atom_site_occupancy
Pr1 0.000 0.000 0.168 1
Y1 0.000 0.500 0.000 1
Y2 0.000 0.500 0.337 1
Y3 0.500 0.500 0.167 1
Y4 0.500 0.500 0.500 1
Th1 0.000 0.000 0.500 1
```

## Properties
crystal system = tetragonal
formation energy from the elements = 0.03 eV per atom
density = 5.5 g/cm³
total magnetic moment = 0.00 μB/f.u.